# CsLiPbS, relaxed, DFT PBE
# Formation energy without anion corrections = -0.75 eV per atom
# VASP energy = -3.40 eV per atom
# Theoretical density = 4.613 g/cm³
# Size of the total moment = 0.0 μB/cell
data_CsLiPbS
_chemical_formula_sum 'Cs2 Li2 Pb2 S2'
_cell_length_a 4.381
_cell_length_b 4.381
_cell_length_c 14.218
_cell_angle_alpha 90.00
_cell_angle_beta 90.00
_cell_angle_gamma 90.00
_space_group_name_H-M_alt 'P 4/n m m'
_space_group_IT_number 129
loop_
_space_group_symop_operation_xyz
'x,y,z'
'-x,-y,-z'
'-y+1/2,x,z'
'y+1/2,-x,-z'
'-x+1/2,-y+1/2,z'
'x+1/2,y+1/2,-z'
'y,-x+1/2,z'
'-y,x+1/2,-z'
'x+1/2,-y,-z'
'-x+1/2,y,z'
'-y,-x,-z'
'y,x,z'
'-x,y+1/2,-z'
'x,-y+1/2,z'
'y+1/2,x+1/2,-z'
'-y+1/2,-x+1/2,z'
loop_
_atom_site_label
_atom_site_type_symbol
_atom_site_fract_x
_atom_site_fract_y
_atom_site_fract_z
Cs1 Cs 0.250 0.250 0.203
Li1 Li 0.250 0.750 0.000
Pb1 Pb 0.250 0.750 0.500
S1 S 0.250 0.250 0.912